Record 1
10
Lattice="7.960 0.000 0.000 0.000 7.960 0.000 0.000 0.000 2.771" Properties=species:S:1:pos:R:3 comment="GaGe2Pt2 GGA-PBE relaxed" final_energy_ev_per_cell=-49.96 n_ef_per_ev_atom=0.36 polymorph_energy_ev_per_atom=0.055 sg="No. 127" delta_e_f_ev_per_atom=-0.1274 pbc="T T T"
Ga 0.000 0.000 0.000
Ga 3.980 3.980 0.000
Ge 1.058 2.922 0.000
Ge 2.922 6.902 0.000
Ge 5.038 1.058 0.000
Ge 6.902 5.038 0.000
Pt 1.302 5.282 1.386
Pt 2.678 1.302 1.386
Pt 5.282 6.658 1.386
Pt 6.658 2.678 1.386

=====

Record 2
5
Lattice="4.810 0.000 0.000 0.000 4.810 0.000 0.000 0.000 4.810" Properties=species:S:1:pos:R:3 comment="Ga3GePt GGA-PBE relaxed" final_energy_ev_per_cell=-16.79 n_ef_per_ev_atom=0.31 polymorph_energy_ev_per_atom=0.814 sg="No. 221" delta_e_f_ev_per_atom=0.5894 pbc="T T T"
Ga 0.000 0.000 2.405
Ga 0.000 2.405 0.000
Ga 2.405 0.000 0.000
Ge 0.000 0.000 0.000
Pt 2.405 2.405 2.405

=====

Record 3
5
Lattice="-1.971 1.971 5.975 1.971 -1.971 5.975 1.971 1.971 -5.975" Properties=species:S:1:pos:R:3 comment="GaGe2Pt2 GGA-PBE relaxed" final_energy_ev_per_cell=-25.07 n_ef_per_ev_atom=0.61 polymorph_energy_ev_per_atom=0.038 sg="No. 139" delta_e_f_ev_per_atom=-0.1447 pbc="T T T"
Ga 0.000 0.000 0.000
Ge 1.971 0.000 2.988
Ge 0.000 1.971 2.988
Pt 0.000 0.000 4.617
Pt 0.000 0.000 7.334

=====

Record 4
15
Lattice="3.734 2.156 5.312 -3.734 2.156 5.312 0.000 -4.311 5.312" Properties=species:S:1:pos:R:3 comment="Ga8GePt6 GGA-PBE relaxed" final_energy_ev_per_cell=-73.56 n_ef_per_ev_atom=0.24 sg="No. 148" delta_e_f_ev_per_atom=-0.5658 pbc="T T T"
Ga -2.525 -0.017 6.074
Ga 0.000 0.000 2.642
Ga -1.248 -2.195 9.862
Ga 1.277 -2.178 6.074
Ga -1.277 2.179 9.862
Ga 1.248 2.195 6.074
Ga 0.000 0.000 13.293
Ga 2.525 0.017 9.862
Ge 0.000 0.000 7.968
Pt -1.241 -2.148 7.086
Pt -2.481 0.001 8.849
Pt -1.239 2.149 7.086
Pt 1.239 -2.149 8.849
Pt 2.481 -0.001 7.086
Pt 1.241 2.148 8.849

=====

Record 5
18
Lattice="5.509 -4.344 0.000 5.509 4.344 0.000 -4.531 0.000 8.011" Properties=species:S:1:pos:R:3 comment="Ga5GePt3 GGA-PBE relaxed" final_energy_ev_per_cell=-83.35 n_ef_per_ev_atom=0.35 polymorph_energy_ev_per_atom=0.138 sg="No. 12" delta_e_f_ev_per_atom=-0.4223 pbc="T T T"
Ga -0.922 0.000 2.815
Ga 2.089 1.855 2.682
Ga 5.509 2.492 0.000
Ga -1.547 0.000 7.810
Ga 4.398 1.855 5.329
Ga 2.089 -1.855 2.682
Ga 8.034 0.000 0.201
Ga 5.509 -2.492 0.000
Ga 4.398 -1.855 5.329
Ga 7.409 0.000 5.196
Ge 1.351 0.000 5.554
Ge 5.136 0.000 2.456
Pt 1.064 0.000 1.337
Pt -1.093 0.000 5.323
Pt 5.509 0.000 0.000
Pt 3.243 0.000 4.005
Pt 7.580 0.000 2.688
Pt 5.423 0.000 6.674

=====

Record 6
10
Lattice="7.591 0.000 0.000 0.000 7.591 0.000 0.000 0.000 3.015" Properties=species:S:1:pos:R:3 comment="GaGe2Pt2 GGA-PBE relaxed" final_energy_ev_per_cell=-50.51 n_ef_per_ev_atom=0.64 polymorph_energy_ev_per_atom=0.000 sg="No. 127" delta_e_f_ev_per_atom=-0.1827 pbc="T T T"
Ga 0.000 0.000 0.000
Ga 3.796 3.796 0.000
Ge 1.171 2.625 1.507
Ge 2.625 6.421 1.507
Ge 4.966 1.171 1.507
Ge 6.421 4.966 1.507
Pt 1.074 4.869 0.000
Pt 2.722 1.074 0.000
Pt 4.869 6.517 0.000
Pt 6.517 2.722 0.000

=====

Record 7
14
Lattice="4.433 -4.438 0.000 4.433 4.438 0.000 -3.472 0.000 5.854" Properties=species:S:1:pos:R:3 comment="GaGePt5 GGA-PBE relaxed" final_energy_ev_per_cell=-79.97 n_ef_per_ev_atom=0.46 sg="No. 15" delta_e_f_ev_per_atom=-0.3050 pbc="T T T"
Ga 2.217 2.219 0.000
Ga 0.481 -2.219 2.927
Ge 1.829 2.617 4.390
Ge 3.565 -2.617 1.463
Pt 3.565 3.830 1.463
Pt 0.073 0.850 3.728
Pt 2.559 1.251 2.423
Pt 1.809 -0.850 0.802
Pt 4.572 1.251 0.504
Pt 0.823 -1.251 5.350
Pt 3.585 0.850 5.052
Pt 2.836 -1.251 3.431
Pt 5.321 -0.850 2.125
Pt 1.829 -3.830 4.390

=====

Record 8
20
Lattice="5.508 -4.193 0.000 5.508 4.193 0.000 -0.009 0.000 7.265" Properties=species:S:1:pos:R:3 comment="GaGePt3 GGA-PBE relaxed" final_energy_ev_per_cell=-111.57 n_ef_per_ev_atom=0.43 polymorph_energy_ev_per_atom=0.000 sg="No. 15" delta_e_f_ev_per_atom=-0.4252 pbc="T T T"
Ga 3.395 2.518 5.450
Ga 7.608 2.518 5.448
Ga 3.400 -2.518 1.817
Ga 7.612 -2.518 1.815
Ge 5.506 3.068 1.816
Ge 5.502 0.383 5.449
Ge 5.506 -0.383 1.816
Ge 5.502 -3.068 5.449
Pt 1.431 0.003 3.633
Pt 1.435 -0.003 0.000
Pt 4.120 1.366 3.334
Pt 4.124 1.372 0.306
Pt 6.888 1.372 3.327
Pt 6.892 1.366 0.299
Pt 4.115 -1.366 6.966
Pt 4.120 -1.372 3.938
Pt 6.884 -1.372 6.959
Pt 6.888 -1.366 3.931
Pt 9.572 0.003 7.265
Pt 9.577 -0.003 3.632

=====

Record 9
11
Lattice="6.082 -3.563 0.000 6.082 3.563 0.000 -0.017 0.000 5.022" Properties=species:S:1:pos:R:3 comment="Ga8GePt2 GGA-PBE relaxed" final_energy_ev_per_cell=-42.42 n_ef_per_ev_atom=0.17 sg="No. 12" delta_e_f_ev_per_atom=-0.1371 pbc="T T T"
Ga 1.419 0.000 4.039
Ga 5.176 2.171 3.479
Ga 6.971 2.171 1.542
Ga 3.398 0.000 1.402
Ga 8.749 0.000 3.620
Ga 5.176 -2.171 3.479
Ga 6.971 -2.171 1.542
Ga 10.728 0.000 0.983
Ge 6.082 0.000 0.000
Pt 3.908 0.000 3.872
Pt 8.239 0.000 1.149

=====

Record 10
5
Lattice="4.683 0.000 0.000 0.000 4.683 0.000 0.000 0.000 4.683" Properties=species:S:1:pos:R:3 comment="GaGePt3 GGA-PBE relaxed" final_energy_ev_per_cell=-23.54 n_ef_per_ev_atom=1.57 polymorph_energy_ev_per_atom=0.870 sg="No. 221" delta_e_f_ev_per_atom=0.4444 pbc="T T T"
Ga 0.000 0.000 0.000
Ge 2.342 2.342 2.342
Pt 0.000 2.342 2.342
Pt 2.342 0.000 2.342
Pt 2.342 2.342 0.000

=====

Record 11
4
Lattice="0.000 3.343 3.343 3.343 0.000 3.343 3.343 3.343 0.000" Properties=species:S:1:pos:R:3 comment="PuGaGePt GGA-PBE relaxed" final_energy_ev_per_cell=-29.64 n_ef_per_ev_atom=2.73 sg="No. 216" delta_e_f_ev_per_atom=-0.4057 pbc="T T T"
Pu 0.000 0.000 0.000
Ga 1.671 1.671 1.671
Ge 5.014 5.014 5.014
Pt 3.343 3.343 3.343

=====

Record 12
20
Lattice="5.376 0.000 0.000 0.000 8.254 0.000 0.000 0.000 9.426" Properties=species:S:1:pos:R:3 comment="Pu2Ga6GePt GGA-PBE relaxed" final_energy_ev_per_cell=-119.66 n_ef_per_ev_atom=2.11 sg="No. 59" delta_e_f_ev_per_atom=-0.2349 pbc="T T T"
Pu 1.344 0.265 2.131
Pu 1.344 3.862 2.131
Pu 4.032 4.392 7.295
Pu 4.032 7.989 7.295
Ga 0.008 2.064 9.062
Ga 0.019 2.064 4.722
Ga 1.344 4.290 5.822
Ga 1.344 8.092 5.822
Ga 2.669 2.064 4.722
Ga 2.679 2.064 9.062
Ga 2.696 6.191 0.364
Ga 2.707 6.191 4.704
Ga 4.032 0.162 3.604
Ga 4.032 3.965 3.604
Ga 5.356 6.191 4.704
Ga 5.367 6.191 0.364
Ge 1.344 6.191 7.663
Ge 4.032 2.064 1.763
Pt 1.344 2.064 6.951
Pt 4.032 6.191 2.475

=====

- Which formula does entry 4 have?
  Ga8GePt6